(a)
Compound: Tb2PmRu
Source: Alexandria via LeMat-Bulk
Functional: GGA-PBE
Structure: optimized geometry

## Properties
- Calculated volume: 351.41 Å³ per cell
- Size of the total moment: 0.00 μB/atom

Cell and atoms, written as CIF:
```
data_Tb2PmRu
_symmetry_space_group_name_H-M 'R -3 m'
_symmetry_Int_Tables_number 166
_symmetry_space_group_name_Hall '-R 3 2"'
_cell_length_a 3.5368
_cell_length_b 3.5368
_cell_length_c 32.4381
_cell_angle_alpha 90.00
_cell_angle_beta 90.00
_cell_angle_gamma 120.00
loop_
_atom_site_label
_atom_site_type_symbol
_atom_site_fract_x
_atom_site_fract_y
_atom_site_fract_z
_atom_site_occupancy
Tb1 Tb 0.0000 0.0000 0.1085 1
Pm1 Pm 0.0000 0.0000 0.0000 1
Ru1 Ru 0.0000 0.0000 0.5000 1
```

***

(b)
Compound: Tb2PmRu
Source: Alexandria via LeMat-Bulk
Functional: GGA-PBE
Structure: optimized geometry

## Properties
- Calculated volume: 439.61 Å³ per cell
- Size of the total moment: 0.00 μB/atom

Cell and atoms, written as CIF:
```
data_Tb2PmRu
_symmetry_space_group_name_H-M 'P n m a'
_symmetry_Int_Tables_number 62
_symmetry_space_group_name_Hall '-P 2ac 2n'
_cell_length_a 7.342
_cell_length_b 9.346
_cell_length_c 6.406
_cell_angle_alpha 90.00
_cell_angle_beta 90.00
_cell_angle_gamma 90.00
loop_
_atom_site_label
_atom_site_type_symbol
_atom_site_fract_x
_atom_site_fract_y
_atom_site_fract_z
_atom_site_occupancy
Tb1 Tb 0.177 0.066 0.169 1
Pm1 Pm 0.041 0.250 0.636 1
Ru1 Ru 0.114 0.750 0.951 1
```

***

(c)
Compound: Tb2PmRu
Source: Alexandria via LeMat-Bulk
Functional: GGA-PBE
Structure: optimized geometry

## Properties
- Calculated volume: 440.93 Å³ per cell
- Size of the total moment: 0.00 μB/atom

Cell and atoms, written as CIF:
```
data_Tb2PmRu
_symmetry_space_group_name_H-M 'C m c m'
_symmetry_Int_Tables_number 63
_symmetry_space_group_name_Hall '-C 2c 2'
_cell_length_a 3.929
_cell_length_b 12.143
_cell_length_c 9.242
_cell_angle_alpha 90.00
_cell_angle_beta 90.00
_cell_angle_gamma 90.00
loop_
_atom_site_label
_atom_site_type_symbol
_atom_site_fract_x
_atom_site_fract_y
_atom_site_fract_z
_atom_site_occupancy
Tb1 Tb 0.000 0.144 0.069 1
Pm1 Pm 0.000 0.424 0.250 1
Ru1 Ru 0.000 0.245 0.750 1
```

***

(d)
Compound: Tb2PmRu
Source: Alexandria via LeMat-Bulk
Functional: GGA-PBE
Structure: optimized geometry

## Properties
- Calculated volume: 108.37 Å³ per cell
- Size of the total moment: 0.00 μB/atom

Cell and atoms, written as CIF:
```
data_Tb2PmRu
_symmetry_space_group_name_H-M 'P 4/m m m'
_symmetry_Int_Tables_number 123
_symmetry_space_group_name_Hall '-P 4 2'
_cell_length_a 3.452
_cell_length_b 3.452
_cell_length_c 9.094
_cell_angle_alpha 90.00
_cell_angle_beta 90.00
_cell_angle_gamma 90.00
loop_
_atom_site_label
_atom_site_type_symbol
_atom_site_fract_x
_atom_site_fract_y
_atom_site_fract_z
_atom_site_occupancy
Tb1 Tb 0.000 0.000 0.181 1
Pm1 Pm 0.500 0.500 0.500 1
Ru1 Ru 0.500 0.500 0.000 1
```

***

Most stable one: (b), least stable one: (a).

***

(a)
Compound: Tb2PmRu2
Source: Alexandria via LeMat-Bulk
Functional: GGA-PBE
Structure: optimized geometry

## Properties
- Calculated volume: 258.08 Å³ per cell
- Size of the total moment: 0.00 μB/atom

Cell and atoms, written as CIF:
```
data_Tb2PmRu2
_symmetry_space_group_name_H-M 'P 1 21/m 1'
_symmetry_Int_Tables_number 11
_symmetry_space_group_name_Hall '-P 2yb'
_cell_length_a 5.379
_cell_length_b 4.368
_cell_length_c 11.078
_cell_angle_alpha 90.00
_cell_angle_beta 97.40
_cell_angle_gamma 90.00
loop_
_atom_site_label
_atom_site_type_symbol
_atom_site_fract_x
_atom_site_fract_y
_atom_site_fract_z
_atom_site_occupancy
Tb1 Tb 0.067 0.250 0.376 1
Tb2 Tb 0.248 0.250 0.025 1
Pm1 Pm 0.445 0.250 0.735 1
Ru1 Ru 0.228 0.750 0.861 1
Ru2 Ru 0.408 0.750 0.514 1
```

***

(b)
Compound: Tb2PmRu2
Source: Alexandria via LeMat-Bulk
Functional: GGA-PBE
Structure: optimized geometry

## Properties
- Calculated volume: 243.79 Å³ per cell
- Size of the total moment: 0.00 μB/atom

Cell and atoms, written as CIF:
```
data_Tb2PmRu2
_symmetry_space_group_name_H-M 'C m m m'
_symmetry_Int_Tables_number 65
_symmetry_space_group_name_Hall '-C 2 2'
_cell_length_a 3.427
_cell_length_b 20.853
_cell_length_c 3.411
_cell_angle_alpha 90.00
_cell_angle_beta 90.00
_cell_angle_gamma 90.00
loop_
_atom_site_label
_atom_site_type_symbol
_atom_site_fract_x
_atom_site_fract_y
_atom_site_fract_z
_atom_site_occupancy
Tb1 Tb 0.000 0.166 0.000 1
Pm1 Pm 0.000 0.000 0.000 1
Ru1 Ru 0.000 0.410 0.500 1
```

***

Most stable one: (b), least stable one: (a).

***

(a)
Compound: Pm2Th2Ru3
Source: Alexandria via LeMat-Bulk
Functional: GGA-PBE
Structure: optimized geometry

## Properties
- Calculated volume: 514.67 Å³ per cell
- Size of the total moment: 0.00 μB/atom

Cell and atoms, written as CIF:
```
data_Pm2Th2Ru3
_symmetry_space_group_name_H-M 'R -3 m'
_symmetry_Int_Tables_number 166
_symmetry_space_group_name_Hall '-R 3 2"'
_cell_length_a 4.7660
_cell_length_b 4.7660
_cell_length_c 26.1512
_cell_angle_alpha 90.00
_cell_angle_beta 90.00
_cell_angle_gamma 120.00
loop_
_atom_site_label
_atom_site_type_symbol
_atom_site_fract_x
_atom_site_fract_y
_atom_site_fract_z
_atom_site_occupancy
Pm1 Pm 0.0000 0.0000 0.1276 1
Th1 Th 0.0000 0.0000 0.3785 1
Ru1 Ru 0.0000 0.0000 0.0000 1
Ru2 Ru 0.0000 0.0000 0.2570 1
```

***

(b)
Compound: Pm2Th2Ru3
Source: Alexandria via LeMat-Bulk
Functional: GGA-PBE
Structure: optimized geometry

## Properties
- Calculated volume: 372.20 Å³ per cell
- Size of the total moment: 0.00 μB/atom

Cell and atoms, written as CIF:
```
data_Pm2Th2Ru3
_symmetry_space_group_name_H-M 'C 1 2/m 1'
_symmetry_Int_Tables_number 12
_symmetry_space_group_name_Hall '-C 2y'
_cell_length_a 13.075
_cell_length_b 4.043
_cell_length_c 7.135
_cell_angle_alpha 90.00
_cell_angle_beta 99.30
_cell_angle_gamma 90.00
loop_
_atom_site_label
_atom_site_type_symbol
_atom_site_fract_x
_atom_site_fract_y
_atom_site_fract_z
_atom_site_occupancy
Pm1 Pm 0.128 0.000 0.362 1
Th1 Th 0.131 0.500 0.894 1
Ru1 Ru 0.000 0.000 0.000 1
Ru2 Ru 0.231 0.000 0.739 1
```

***

Most stable one: (a), least stable one: (b).

***

(a)
Compound: Pm2ThRu2
Source: Alexandria via LeMat-Bulk
Functional: GGA-PBE
Structure: optimized geometry

## Properties
- Calculated volume: 516.26 Å³ per cell
- Size of the total moment: 0.00 μB/atom

Cell and atoms, written as CIF:
```
data_Pm2ThRu2
_symmetry_space_group_name_H-M 'C 1 2/c 1'
_symmetry_Int_Tables_number 15
_symmetry_space_group_name_Hall '-C 2yc'
_cell_length_a 11.260
_cell_length_b 6.191
_cell_length_c 7.546
_cell_angle_alpha 90.00
_cell_angle_beta 101.07
_cell_angle_gamma 90.00
loop_
_atom_site_label
_atom_site_type_symbol
_atom_site_fract_x
_atom_site_fract_y
_atom_site_fract_z
_atom_site_occupancy
Pm1 Pm 0.160 0.109 0.150 1
Th1 Th 0.000 0.426 0.750 1
Ru1 Ru 0.158 0.373 0.524 1
```

***

(b)
Compound: Pm2ThRu2
Source: Alexandria via LeMat-Bulk
Functional: GGA-PBE
Structure: optimized geometry

## Properties
- Calculated volume: 511.01 Å³ per cell
- Size of the total moment: 0.00 μB/atom

Cell and atoms, written as CIF:
```
data_Pm2ThRu2
_symmetry_space_group_name_H-M 'P 1 21/c 1'
_symmetry_Int_Tables_number 14
_symmetry_space_group_name_Hall '-P 2ybc'
_cell_length_a 10.351
_cell_length_b 6.831
_cell_length_c 7.252
_cell_angle_alpha 90.00
_cell_angle_beta 94.76
_cell_angle_gamma 90.00
loop_
_atom_site_label
_atom_site_type_symbol
_atom_site_fract_x
_atom_site_fract_y
_atom_site_fract_z
_atom_site_occupancy
Pm1 Pm 0.020 0.243 0.433 1
Pm2 Pm 0.290 0.675 0.883 1
Th1 Th 0.366 0.185 0.001 1
Ru1 Ru 0.186 0.036 0.709 1
Ru2 Ru 0.484 0.547 0.213 1
```

***

Most stable one: (a), least stable one: (b).

***

(a)
Compound: PmThRu2
Source: Alexandria via LeMat-Bulk
Functional: GGA-PBE
Structure: optimized geometry

## Properties
- Calculated volume: 87.98 Å³ per cell
- Size of the total moment: 0.00 μB/atom

Cell and atoms, written as CIF:
```
data_PmThRu2
_symmetry_space_group_name_H-M 'P 4/m m m'
_symmetry_Int_Tables_number 123
_symmetry_space_group_name_Hall '-P 4 2'
_cell_length_a 3.528
_cell_length_b 3.528
_cell_length_c 7.070
_cell_angle_alpha 90.00
_cell_angle_beta 90.00
_cell_angle_gamma 90.00
loop_
_atom_site_label
_atom_site_type_symbol
_atom_site_fract_x
_atom_site_fract_y
_atom_site_fract_z
_atom_site_occupancy
Pm1 Pm 0.000 0.000 0.000 1
Th1 Th 0.000 0.000 0.500 1
Ru1 Ru 0.500 0.500 0.269 1
```

***

(b)
Compound: PmThRu2
Source: Alexandria via LeMat-Bulk
Functional: GGA-PBE
Structure: optimized geometry

## Properties
- Calculated volume: 367.84 Å³ per cell
- Size of the total moment: 0.00 μB/atom

Cell and atoms, written as CIF:
```
data_PmThRu2
_symmetry_space_group_name_H-M 'P 1 2/c 1'
_symmetry_Int_Tables_number 13
_symmetry_space_group_name_Hall '-P 2yc'
_cell_length_a 5.905
_cell_length_b 5.971
_cell_length_c 11.034
_cell_angle_alpha 90.00
_cell_angle_beta 109.00
_cell_angle_gamma 90.00
loop_
_atom_site_label
_atom_site_type_symbol
_atom_site_fract_x
_atom_site_fract_y
_atom_site_fract_z
_atom_site_occupancy
Pm1 Pm 0.193 0.132 0.146 1
Th1 Th 0.312 0.365 0.853 1
Ru1 Ru 0.148 0.378 0.602 1
Ru2 Ru 0.359 0.162 0.446 1
```

***

(c)
Compound: PmThRu2
Source: Alexandria via LeMat-Bulk
Functional: GGA-PBE
Structure: optimized geometry

## Properties
- Calculated volume: 276.48 Å³ per cell
- Size of the total moment: 0.00 μB/atom

Cell and atoms, written as CIF:
```
data_PmThRu2
_symmetry_space_group_name_H-M 'R -3 m'
_symmetry_Int_Tables_number 166
_symmetry_space_group_name_Hall '-R 3 2"'
_cell_length_a 3.6662
_cell_length_b 3.6662
_cell_length_c 23.7517
_cell_angle_alpha 90.00
_cell_angle_beta 90.00
_cell_angle_gamma 120.00
loop_
_atom_site_label
_atom_site_type_symbol
_atom_site_fract_x
_atom_site_fract_y
_atom_site_fract_z
_atom_site_occupancy
Pm1 Pm 0.0000 0.0000 0.0000 1
Th1 Th 0.0000 0.0000 0.5000 1
Ru1 Ru 0.0000 0.0000 0.2449 1
```

***

Most stable one: (a), least stable one: (c).